Record 1
Material: CsTaAuO3
Method: DFT, PBE-GGA
State: relaxed

Cell and atoms, written as POSCAR:
```
CsTaAuO3
1.0
13.170 0.000 0.000
0.000 3.214 0.000
0.000 0.000 11.026
Au O Cs Ta
4 12 4 4
Direct
0.981 0.250 0.405
0.481 0.250 0.095
0.019 0.750 0.595
0.519 0.750 0.905
0.533 0.750 0.701
0.421 0.750 0.513
0.839 0.250 0.799
0.033 0.750 0.799
0.967 0.250 0.201
0.079 0.250 0.013
0.921 0.750 0.987
0.161 0.750 0.201
0.467 0.250 0.299
0.661 0.750 0.299
0.579 0.250 0.487
0.339 0.250 0.701
0.740 0.250 0.095
0.240 0.250 0.405
0.260 0.750 0.905
0.760 0.750 0.595
0.961 0.250 0.871
0.039 0.750 0.129
0.461 0.250 0.629
0.539 0.750 0.371
```

Computed properties:
Its space-group type is Pnma. The value obtained for the magnetic moment is 0.0 μB per formula unit. For the final energy, the calculation gives -0.2581 Ha/atom.



Record 2
Material: CsTbAu3O4
Method: DFT, PBE-GGA
State: relaxed

Cell and atoms, written as POSCAR:
```
CsTbAu3O4
1.0
5.828 0.000 0.000
0.000 5.828 0.000
0.000 0.000 5.828
O Cs Au Tb
4 1 3 1
Direct
0.286 0.714 0.714
0.714 0.286 0.714
0.714 0.714 0.286
0.286 0.286 0.286
0.000 0.000 0.000
0.500 0.000 0.500
0.500 0.500 0.000
0.000 0.500 0.500
0.500 0.500 0.500
```

Computed properties:
Its space-group type is P-43m. The value obtained for the magnetic moment is 0.0 μB per formula unit. For the final energy, the calculation gives -0.1672 Ha/atom.



Record 3
Material: CsTeAuO
Method: DFT, PBE-GGA
State: relaxed

Cell and atoms, written as POSCAR:
```
CsTeAuO
1.0
-1.691 -4.583 1.382
6.259 -1.004 4.328
-3.262 2.824 5.373
Te Cs O Au
2 2 2 2
Direct
0.000 0.142 0.601
0.000 0.858 0.101
0.000 0.333 0.121
0.000 0.667 0.621
0.500 0.143 0.250
0.500 0.857 0.750
0.500 0.970 0.019
0.500 0.030 0.519
```

Computed properties:
Its space-group type is Pmc2_1. For the energy above the lowest structure with this stoichiometry, the calculation gives 0.000 eV per atom. For the final energy, the calculation gives -0.1278 Ha/atom.



Record 4
Material: CsTeAuO
Method: DFT, PBE-GGA
State: relaxed

Cell and atoms, written as POSCAR:
```
CsTeAuO
1.0
-2.174 -3.342 2.531
2.701 1.063 3.724
-7.186 7.089 3.188
Au Cs O Te
2 2 2 2
Direct
0.250 0.250 0.002
0.750 0.750 0.998
0.250 0.750 0.500
0.750 0.250 0.500
0.750 0.250 0.000
0.250 0.750 0.000
0.750 0.750 0.251
0.250 0.250 0.749
```

Computed properties:
Its space-group type is P4/nmm. For the energy above the lowest structure with this stoichiometry, the calculation gives 0.800 eV per atom. For the final energy, the calculation gives -0.0984 Ha/atom.